! MgAgF5, optimized geometry, DFT PBE; values from VASP
! Mass density: 3.620 g/cm³
! Uncorrected energy: -27.75 eV/f.u.
! Excess energy over the best structure of this formula in the dataset: 9 meV per atom
! Crystal system: monoclinic
! Raw formation energy: -1.9921 eV/atom
&SYSTEM
  ibrav = 0, nat = 14, ntyp = 3
/
ATOMIC_SPECIES
Mg 24.30 Mg.upf
Ag 107.87 Ag.upf
F 19.00 F.upf
CELL_PARAMETERS angstrom
4.5202 -3.0895 0.0000
4.5202 3.0895 0.0000
-4.3906 0.0000 7.4612
ATOMIC_POSITIONS crystal
Mg 0.0025 0.9975 0.7500
Mg 0.9975 0.0025 0.2500
Ag 0.5000 0.5000 0.0000
Ag 0.5000 0.5000 0.5000
F 0.1513 0.7634 0.0540
F 0.2082 0.2985 0.3404
F 0.2366 0.8487 0.4460
F 0.2985 0.2082 0.8404
F 0.3115 0.6885 0.7500
F 0.6885 0.3115 0.2500
F 0.7015 0.7918 0.1596
F 0.7634 0.1513 0.5540
F 0.7918 0.7015 0.6596
F 0.8487 0.2366 0.9460